(i)
Fe2Ni7: optimized geometry, PBE.

Lattice parameters (Å, degrees): 6.8544 6.8544 2.4636 90.00 90.00 120.00
Positions (direct):
Fe (0.3333, 0.6667, 0.0000)
Fe (0.6667, 0.3333, 0.0000)
Ni (0.0000, 0.0000, 0.5000)
Ni (0.0000, 0.3066, 0.0000)
Ni (0.0000, 0.6399, 0.5000)
Ni (0.3066, 0.0000, 0.0000)
Ni (0.3601, 0.3601, 0.5000)
Ni (0.6399, 0.0000, 0.5000)
Ni (0.6934, 0.6934, 0.0000)

Summary:
As for the spin magnetization: 1.042 μB/atom. The space group is P-62m.


(ii)
Fe2Ni7: optimized geometry, PBE.

Lattice parameters (Å, degrees): 4.3372 4.3372 6.1099 90.00 90.00 120.00
Positions (direct):
Fe (0.3333, 0.6667, 0.0000)
Fe (0.6667, 0.3333, 0.0000)
Ni (0.0000, 0.0000, 0.0000)
Ni (0.0000, 0.3362, 0.6682)
Ni (0.0000, 0.6638, 0.3318)
Ni (0.3362, 0.0000, 0.6682)
Ni (0.3362, 0.3362, 0.3318)
Ni (0.6638, 0.0000, 0.3318)
Ni (0.6638, 0.6638, 0.6682)

Summary:
As for the spin magnetization: 1.051 μB/atom. The space group is P-31m.


Computed stability ranking, most favorable first: (ii), (i)


(i)
Fe7Ni: optimized geometry, PBE.

Lattice parameters (Å, degrees): 4.0324 4.0324 11.4903 90.00 90.00 90.00
Positions (direct):
Fe (0.0000, 0.0000, 0.0000)
Fe (0.0000, 0.0000, 0.2493)
Fe (0.0000, 0.0000, 0.7507)
Fe (0.0000, 0.5000, 0.1253)
Fe (0.0000, 0.5000, 0.3747)
Fe (0.0000, 0.5000, 0.6253)
Fe (0.0000, 0.5000, 0.8747)
Fe (0.5000, 0.0000, 0.1253)
Fe (0.5000, 0.0000, 0.3747)
Fe (0.5000, 0.0000, 0.6253)
Fe (0.5000, 0.0000, 0.8747)
Fe (0.5000, 0.5000, 0.2507)
Fe (0.5000, 0.5000, 0.5000)
Fe (0.5000, 0.5000, 0.7493)
Ni (0.0000, 0.0000, 0.5000)
Ni (0.5000, 0.5000, 0.0000)

Summary:
As for the spin magnetization: 2.326 μB/atom. The space group is I4/mmm.


(ii)
Fe7Ni: optimized geometry, PBE.

Lattice parameters (Å, degrees): 4.9691 4.9691 4.9691 60.00 60.00 60.00
Positions (direct):
Fe (0.0000, 0.0000, 0.0000)
Fe (0.0000, 0.0000, 0.5000)
Fe (0.0000, 0.5000, 0.0000)
Fe (0.0000, 0.5000, 0.5000)
Fe (0.5000, 0.0000, 0.0000)
Fe (0.5000, 0.0000, 0.5000)
Fe (0.5000, 0.5000, 0.0000)
Ni (0.5000, 0.5000, 0.5000)

Summary:
As for the spin magnetization: 1.381 μB/atom. The space group is Fm-3m.


Computed stability ranking, most favorable first: (i), (ii)


(i)
Fe3Ni8: optimized geometry, PBE.

Lattice parameters (Å, degrees): 4.3438 4.3438 9.0504 103.96 103.96 47.95
Positions (direct):
Fe (0.0000, 0.0000, 0.0000)
Fe (0.0934, 0.0934, 0.6391)
Fe (0.9066, 0.9066, 0.3609)
Ni (0.1820, 0.1820, 0.2717)
Ni (0.2725, 0.2725, 0.9092)
Ni (0.3653, 0.3653, 0.5471)
Ni (0.4555, 0.4555, 0.1819)
Ni (0.5445, 0.5445, 0.8181)
Ni (0.6347, 0.6347, 0.4529)
Ni (0.7275, 0.7275, 0.0908)
Ni (0.8180, 0.8180, 0.7283)

Summary:
As for the spin magnetization: 1.195 μB/atom. The space group is C2/m.


(ii)
Fe3Ni8: optimized geometry, PBE.

Lattice parameters (Å, degrees): 5.2460 5.2460 5.2460 94.15 94.15 94.15
Positions (direct):
Fe (0.0000, 0.5000, 0.5000)
Fe (0.5000, 0.0000, 0.5000)
Fe (0.5000, 0.5000, 0.0000)
Ni (0.0680, 0.9114, 0.6856)
Ni (0.0886, 0.3144, 0.9320)
Ni (0.3144, 0.9320, 0.0886)
Ni (0.3601, 0.3601, 0.3601)
Ni (0.6399, 0.6399, 0.6399)
Ni (0.6856, 0.0680, 0.9114)
Ni (0.9114, 0.6856, 0.0680)
Ni (0.9320, 0.0886, 0.3144)

Summary:
As for the spin magnetization: 1.237 μB/atom. The space group is R-3.


Computed stability ranking, most favorable first: (i), (ii)


(i)
NpFeNi2: optimized geometry, PBE.

Lattice parameters (Å, degrees): 3.6912 3.6912 4.0010 90.00 90.00 90.00
Positions (direct):
Np (0.0000, 0.0000, 0.0000)
Fe (0.5000, 0.5000, 0.0000)
Ni (0.0000, 0.5000, 0.5000)
Ni (0.5000, 0.0000, 0.5000)

Summary:
As for the spin magnetization: 0.355 μB/atom. The space group is P4/mmm.


(ii)
NpFeNi2: optimized geometry, PBE.

Lattice parameters (Å, degrees): 4.0485 4.0485 13.4710 90.00 90.00 120.00
Positions (direct):
Np (0.0000, 0.0000, 0.0000)
Np (0.3333, 0.6667, 0.6667)
Np (0.6667, 0.3333, 0.3333)
Fe (0.0000, 0.0000, 0.5000)
Fe (0.3333, 0.6667, 0.1667)
Fe (0.6667, 0.3333, 0.8333)
Ni (0.0000, 0.0000, 0.2060)
Ni (0.0000, 0.0000, 0.7940)
Ni (0.3333, 0.6667, 0.4607)
Ni (0.3333, 0.6667, 0.8727)
Ni (0.6667, 0.3333, 0.1273)
Ni (0.6667, 0.3333, 0.5393)

Summary:
As for the spin magnetization: 1.606 μB/atom. The space group is R-3m.


Computed stability ranking, most favorable first: (i), (ii)